w.
The following is a DFT calculation (GGA-PBE) of a relaxed structure of Cs2Si2Ag.

Structure (CIF):
```
data_Cs2Si2Ag
_chemical_formula_sum 'Cs4 Si4 Ag2'
_space_group_name_H-M_alt 'P 1'
_space_group_IT_number 1
_cell_length_a 6.932
_cell_length_b 6.932
_cell_length_c 6.204
_cell_angle_alpha 90.00
_cell_angle_beta 90.00
_cell_angle_gamma 90.00
loop_
_space_group_symop_operation_xyz
'x,y,z'
loop_
_atom_site_label
_atom_site_type_symbol
_atom_site_fract_x
_atom_site_fract_y
_atom_site_fract_z
Cs1 Cs 0.182 0.682 0.500
Cs2 Cs 0.682 0.818 0.500
Cs3 Cs 0.818 0.318 0.500
Cs4 Cs 0.318 0.182 0.500
Si1 Si 0.378 0.878 0.000
Si2 Si 0.878 0.622 0.000
Si3 Si 0.622 0.122 0.000
Si4 Si 0.122 0.378 0.000
Ag1 Ag 0.000 0.000 0.000
Ag2 Ag 0.500 0.500 0.000
```

Summary:
Magnetic moment = 0.00 μB per cell

x.
The following is a DFT calculation (GGA-PBE) of a relaxed structure of Cs2Si2Ag.

Structure (CIF):
```
data_Cs2Si2Ag
_chemical_formula_sum 'Cs2 Si2 Ag1'
_space_group_name_H-M_alt 'P 1'
_space_group_IT_number 1
_cell_length_a 3.637
_cell_length_b 3.637
_cell_length_c 12.198
_cell_angle_alpha 81.43
_cell_angle_beta 81.43
_cell_angle_gamma 90.00
loop_
_space_group_symop_operation_xyz
'x,y,z'
loop_
_atom_site_label
_atom_site_type_symbol
_atom_site_fract_x
_atom_site_fract_y
_atom_site_fract_z
Cs1 Cs 0.389 0.389 0.221
Cs2 Cs 0.611 0.611 0.779
Si1 Si 0.750 0.250 0.500
Si2 Si 0.250 0.750 0.500
Ag1 Ag 0.000 0.000 0.000
```

Summary:
Magnetic moment = 0.00 μB per cell

y.
The following is a DFT calculation (GGA-PBE) of a relaxed structure of Cs2Si2Ag.

Structure (CIF):
```
data_Cs2Si2Ag
_chemical_formula_sum 'Cs4 Si4 Ag2'
_space_group_name_H-M_alt 'P 1'
_space_group_IT_number 1
_cell_length_a 10.846
_cell_length_b 10.846
_cell_length_c 3.725
_cell_angle_alpha 90.00
_cell_angle_beta 90.00
_cell_angle_gamma 90.00
loop_
_space_group_symop_operation_xyz
'x,y,z'
loop_
_atom_site_label
_atom_site_type_symbol
_atom_site_fract_x
_atom_site_fract_y
_atom_site_fract_z
Cs1 Cs 0.284 0.784 0.000
Cs2 Cs 0.784 0.716 0.000
Cs3 Cs 0.716 0.216 0.000
Cs4 Cs 0.216 0.284 0.000
Si1 Si 0.071 0.571 0.500
Si2 Si 0.571 0.929 0.500
Si3 Si 0.929 0.429 0.500
Si4 Si 0.429 0.071 0.500
Ag1 Ag 0.000 0.000 0.000
Ag2 Ag 0.500 0.500 0.000
```

Summary:
Magnetic moment = 0.00 μB per cell

List of relative energies, unit meV per atom: w 24; x 0; y 186

w.
The following is a DFT calculation (GGA-PBE) of a relaxed structure of CsAgSn3.

Structure (CIF):
```
data_CsAgSn3
_chemical_formula_sum 'Cs2 Ag2 Sn6'
_space_group_name_H-M_alt 'P 1'
_space_group_IT_number 1
_cell_length_a 6.837
_cell_length_b 7.893
_cell_length_c 7.019
_cell_angle_alpha 89.99
_cell_angle_beta 85.23
_cell_angle_gamma 90.00
loop_
_space_group_symop_operation_xyz
'x,y,z'
loop_
_atom_site_label
_atom_site_type_symbol
_atom_site_fract_x
_atom_site_fract_y
_atom_site_fract_z
Cs1 Cs 0.515 0.286 0.776
Cs2 Cs 0.015 0.066 0.277
Ag1 Ag 0.173 0.663 0.598
Ag2 Ag 0.673 0.690 0.098
Sn1 Sn 0.326 0.515 0.256
Sn2 Sn 0.346 0.815 0.913
Sn3 Sn 0.846 0.538 0.413
Sn4 Sn 0.826 0.838 0.756
Sn5 Sn 0.018 0.518 0.960
Sn6 Sn 0.518 0.835 0.460
```

Summary:
Magnetic moment = 0.00 μB per cell

x.
The following is a DFT calculation (GGA-PBE) of a relaxed structure of CsAgSn3.

Structure (CIF):
```
data_CsAgSn3
_chemical_formula_sum 'Cs1 Ag1 Sn3'
_space_group_name_H-M_alt 'P 1'
_space_group_IT_number 1
_cell_length_a 5.606
_cell_length_b 5.606
_cell_length_c 5.606
_cell_angle_alpha 90.00
_cell_angle_beta 90.00
_cell_angle_gamma 90.00
loop_
_space_group_symop_operation_xyz
'x,y,z'
loop_
_atom_site_label
_atom_site_type_symbol
_atom_site_fract_x
_atom_site_fract_y
_atom_site_fract_z
Cs1 Cs 0.500 0.500 0.500
Sn1 Sn 0.000 0.500 0.000
Sn2 Sn 0.000 0.000 0.500
Sn3 Sn 0.500 0.000 0.000
Ag1 Ag 0.000 0.000 0.000
```

Summary:
Magnetic moment = 0.00 μB per cell

List of relative energies, unit meV per atom: w 0; x 337